BaTmBi2, optimized geometry, DFT GGA-PBE; electronic total energy = -4.275 eV/atom; calculated volume = 152 Å³ per cell; offset from the most stable computed form = 0 meV/atom; E_form = -0.736 eV/atom; space group = No. 166
1.0
2.375 1.371 7.786
-2.375 1.371 7.786
0.000 -2.742 7.786
Ba Tm Bi
1 1 2
Cartesian
0.000 0.000 0.000
0.000 0.000 11.679
0.000 0.000 5.481
0.000 0.000 17.878

---

DyHo3Sb3, optimized geometry, DFT GGA-PBE; electronic total energy = -5.273 eV/atom; calculated volume = 422 Å³ per cell; offset from the most stable computed form = 91 meV/atom; space group = No. 148
1.0
4.464 2.577 6.115
-4.464 2.577 6.115
0.000 -5.155 6.115
Dy Ho Sb
2 6 6
Cartesian
0.000 0.000 3.047
0.000 0.000 15.300
-1.148 -2.026 7.629
-2.329 -0.019 10.717
-1.181 2.007 7.629
1.181 -2.007 10.717
2.329 0.019 7.629
1.148 2.026 10.717
-3.452 -0.029 7.664
-1.700 -3.004 10.683
1.751 -2.975 7.664
-1.751 2.975 10.683
1.700 3.004 7.664
3.452 0.029 10.683

---

no.,DOS at the Fermi energy (states/eV/f.u.)
1,3.30
2,4.86